The following is a DFT calculation (PBE-GGA) of an optimized crystal structure of CdH.

Cell: 4.798 4.798 4.798 Å, 90.00 90.00 90.00°
Space group Fm-3m (No. 225)
Unique sites:
Cd1 0.000 0.000 0.000 [4 per cell]
H1 0.000 0.000 0.500 [4 per cell]

Computed properties:
Density ... 6.822 Mg/m³
Magnetization ... 0.0 Bohr magnetons per cell
Distance to the lowest polymorph of the same formula ... 447 meV/atom
Calculated volume ... 110.4 Å³/cell
Total energy ... -1.5541 eV/atom
N(E_F) ... 0.329 states/eV/atom